# SrCO2 | Alexandria via LeMat-Bulk | PBE-GGA | relaxed
# Crystal system: tetragonal
# Uncorrected formation energy, eV per atom: -0.196
# DOS(E_F), states/eV/atom: 0.061
data_SrCO2
_symmetry_space_group_name_H-M 'I -4 2 d'
_symmetry_Int_Tables_number 122
_symmetry_space_group_name_Hall 'I -4 2bw'
_cell_length_a 4.7252
_cell_length_b 4.7252
_cell_length_c 10.3121
_cell_angle_alpha 90.00
_cell_angle_beta 90.00
_cell_angle_gamma 90.00
loop_
_atom_site_label
_atom_site_type_symbol
_atom_site_fract_x
_atom_site_fract_y
_atom_site_fract_z
Sr1 Sr 0.0000 0.0000 0.0000
C1 C 0.0000 0.0000 0.5000
O1 O 0.1406 0.2500 0.6250

---

# SrC2O4 | Alexandria via LeMat-Bulk | PBE-GGA | relaxed
# Crystal system: orthorhombic
# Uncorrected formation energy, eV per atom: -1.366
# DOS(E_F), states/eV/atom: 0.088
data_SrC2O4
_symmetry_space_group_name_H-M 'P 21 21 21'
_symmetry_Int_Tables_number 19
_cell_length_a 6.8239
_cell_length_b 7.6108
_cell_length_c 9.0293
_cell_angle_alpha 90.00
_cell_angle_beta 90.00
_cell_angle_gamma 90.00
loop_
_symmetry_equiv_pos_as_xyz
'x,y,z'
'-x+1/2,-y,z+1/2'
'x+1/2,-y+1/2,-z'
'-x,y+1/2,-z+1/2'
loop_
_atom_site_label
_atom_site_type_symbol
_atom_site_fract_x
_atom_site_fract_y
_atom_site_fract_z
Sr1 Sr 0.0034 0.2370 0.3177
C1 C 0.1297 0.0520 0.6641
C2 C 0.2243 0.6251 0.5103
O1 O 0.1272 0.5508 0.4107
O2 O 0.1461 0.1769 0.5738
O3 O 0.1662 0.4313 0.1107
O4 O 0.2486 0.0003 0.7603

---

# SrCO3 | Alexandria via LeMat-Bulk | PBE-GGA | relaxed
# Crystal system: cubic
# Uncorrected formation energy, eV per atom: -0.406
# DOS(E_F), states/eV/atom: 0.486
data_SrCO3
_symmetry_space_group_name_H-M 'P m -3 m'
_symmetry_Int_Tables_number 221
_symmetry_space_group_name_Hall '-P 4 2 3'
_cell_length_a 3.5995
_cell_length_b 3.5995
_cell_length_c 3.5995
_cell_angle_alpha 90.00
_cell_angle_beta 90.00
_cell_angle_gamma 90.00
loop_
_atom_site_label
_atom_site_type_symbol
_atom_site_fract_x
_atom_site_fract_y
_atom_site_fract_z
Sr1 Sr 0.0000 0.0000 0.0000
C1 C 0.5000 0.5000 0.5000
O1 O 0.0000 0.5000 0.5000

---

# Sr3CO | Alexandria via LeMat-Bulk | PBE-GGA | relaxed
# Crystal system: cubic
# Uncorrected formation energy, eV per atom: -0.392
# DOS(E_F), states/eV/atom: 0.000
data_Sr3CO
_symmetry_space_group_name_H-M 'P m -3 m'
_symmetry_Int_Tables_number 221
_symmetry_space_group_name_Hall '-P 4 2 3'
_cell_length_a 4.9151
_cell_length_b 4.9151
_cell_length_c 4.9151
_cell_angle_alpha 90.00
_cell_angle_beta 90.00
_cell_angle_gamma 90.00
loop_
_atom_site_label
_atom_site_type_symbol
_atom_site_fract_x
_atom_site_fract_y
_atom_site_fract_z
Sr1 Sr 0.0000 0.0000 0.5000
C1 C 0.5000 0.5000 0.5000
O1 O 0.0000 0.0000 0.0000

---

Question: Among the records above, which one has the highest DOS(E_F)?
Answer: SrCO3